# 1
Pm5Sm2Tm6 | the Alexandria database | PBE | optimized geometry; space-group type = Pbam, No. 55
1.0
3.5786 0.0000 0.0000
0.0000 11.6421 0.0000
0.0000 0.0000 20.4147
Tm Pm Sm
12 10 4
Cartesian
0.0000 0.9099 7.5071
1.7893 9.5640 7.4848
0.0000 4.9112 17.7145
0.0000 5.1192 11.8354
1.7893 3.7430 2.7225
0.0000 0.7018 1.6281
0.0000 10.7322 12.9075
0.0000 10.9402 18.7866
1.7893 2.0781 12.9299
1.7893 7.8991 17.6921
0.0000 6.7309 2.7002
0.0000 6.5229 8.5792
1.7893 9.3127 1.0090
1.7893 4.8321 14.8017
1.7893 3.4916 9.1983
1.7893 5.8210 0.0000
1.7893 6.8099 5.6130
1.7893 2.3294 19.4057
1.7893 10.6532 15.8203
1.7893 0.9889 4.5944
1.7893 0.0000 10.2073
1.7893 8.1504 11.2163
0.0000 3.8230 5.8574
0.0000 7.8191 14.5573
0.0000 1.9981 16.0647
0.0000 9.6440 4.3499

=====

# 2
Pm3SmTm2 | the Alexandria database | PBE | optimized geometry; space-group type = C2/c, No. 15
1.0
7.1826 0.0000 0.0000
0.0000 6.1859 0.5812
-3.5913 -0.7929 8.7699
Tm Pm Sm
4 6 2
Cartesian
2.6997 0.2478 2.9836
-0.8916 2.0522 6.0768
4.4829 3.3408 3.2742
0.8916 5.1451 6.3675
2.6982 4.6394 0.4359
-0.9020 0.2556 2.9917
2.6893 2.0444 6.0688
4.4844 1.5465 0.1453
0.9020 3.3485 3.2823
4.4933 5.1373 6.3594
6.2772 4.6394 0.4359
0.9054 1.5465 0.1453

=====

# 3
Pm12Sm6Tm | the Alexandria database | PBE | optimized geometry; space-group type = R-3, No. 148
1.0
-3.9691 -2.8635 -7.1839
3.3839 -7.9265 1.1322
-6.9316 -2.4388 4.6441
Pm Sm Tm
12 6 1
Cartesian
-6.0586 -6.8866 0.2573
-7.8452 -9.7817 -0.5012
0.3284 -3.4471 -0.9064
-5.6127 -10.7658 -3.1741
-2.8095 -8.7317 0.2476
-4.8034 -11.5906 0.2556
-1.4582 -6.3422 -1.6649
-4.7073 -4.4971 -1.6552
-1.9041 -2.4629 1.7664
-4.2941 -7.5458 -2.9697
-3.2227 -5.6829 1.5620
-2.7133 -1.6382 -1.6632
-1.9536 -10.0177 -2.8862
-2.5534 -4.3079 -4.2858
0.1762 -6.4554 1.3203
-5.5632 -3.2111 1.4786
-4.9634 -8.9209 2.8782
-7.6930 -6.7734 -2.7279
0.0000 0.0000 0.0000

=====

# 4
Pm3Sm2Tm8 | the Alexandria database | PBE | optimized geometry; space-group type = C2/m, No. 12
1.0
-3.5238 -3.7110 4.6116
-6.2392 -6.3799 -3.1079
1.5997 -9.2976 0.5340
Tm Sm Pm
8 2 3
Cartesian
-2.3391 -8.6046 2.2684
-7.2284 -16.3209 2.4829
-2.9927 -11.8379 1.0849
-5.2134 -10.0170 3.1962
-2.9500 -9.3716 -1.1584
-5.1706 -7.5507 0.9528
-5.8243 -10.7840 -0.2306
-0.9350 -3.0677 -0.4451
-5.4410 -14.1531 0.3725
-2.7224 -5.2354 1.6653
-4.8524 -6.8961 -2.4635
0.2128 -8.7814 -0.1103
-1.7619 -1.8555 2.3058

=====

# 5
Pm4Sm3Tm2 | the Alexandria database | PBE | optimized geometry; space-group type = C2/m, No. 12
1.0
5.1021 0.0000 0.0000
0.0000 8.0180 0.7268
-2.5510 -3.0814 7.0138
Sm Pm Tm
3 4 2
Cartesian
0.0000 4.6708 2.0510
2.5510 0.2657 5.6896
0.0000 0.0000 0.0000
0.0000 1.2803 3.3556
0.0000 2.6228 6.7298
2.5510 3.6562 4.3851
2.5510 2.3137 1.0108
2.5510 6.9812 3.0817
0.0000 -2.0447 4.6589

=====

# 6
Pm6Sm6Tm | the Alexandria database | PBE | optimized geometry; space-group type = P6/mmm, No. 191
1.0
-2.2643 -1.0089 -6.2836
-1.3378 -4.5203 4.8379
-9.6726 5.6263 2.5822
Tm Pm Sm
1 6 6
Cartesian
0.0000 0.0000 0.0000
-1.6467 -3.3497 1.1302
-3.3607 1.9548 0.8972
-6.3119 3.6715 1.6851
-6.7919 0.6341 -1.2864
-1.9555 -2.1796 -2.5758
-6.4829 -0.5371 2.4230
-3.5284 0.8894 -2.5021
-8.4085 3.7280 -1.1993
-7.9453 1.9723 4.3615
-9.0759 1.4670 1.2193
-3.0652 -0.8663 3.0587
-4.1988 -1.3699 -0.0827

=====

# 7
PmSm4Tm | the Alexandria database | PBE | optimized geometry; space-group type = Cmmm, No. 65
1.0
7.7572 1.9175 1.1467
5.0094 6.2255 1.1467
-0.6423 -0.4097 5.0391
Sm Tm Pm
4 1 1
Cartesian
7.8615 5.0144 6.5667
1.7960 1.1455 2.9000
10.3283 6.5878 4.4326
4.2628 2.7189 0.7659
0.0000 0.0000 0.0000
6.0621 3.8667 3.6663

=====

# 8
Pm2Sm3Tm | the Alexandria database | PBE | optimized geometry; space-group type = C2/m, No. 12
1.0
-0.5268 -3.4582 -0.3895
10.1126 -1.3494 -1.6963
-1.7022 0.7285 11.7370
Pm Sm Tm
4 6 2
Cartesian
6.7911 -3.7553 8.2535
2.7130 -2.6121 3.6196
5.1706 -1.4670 6.0316
1.0925 -0.3239 1.3978
3.9518 -2.4412 0.4270
6.2333 -3.0887 3.0895
0.3160 -2.8928 9.3537
1.6503 -0.9905 6.5618
3.9318 -1.6379 9.2243
7.5676 -1.1863 0.2976
-0.6226 -2.1598 4.1150
8.5062 -1.9193 5.5362

=====

| no. | V (Å³/cell) | calculated formation energy (eV per atom) | N(E_F) (states/eV/atom) |
| --- | --- | --- | --- |
| 1 | 850.5 | 0.0969 | 1.2554 |
| 2 | 393.0 | 0.0196 | 1.3956 |
| 3 | 656.6 | 0.1341 | 1.6331 |
| 4 | 434.5 | 0.2386 | 1.2945 |
| 5 | 298.4 | 0.0194 | 1.5255 |
| 6 | 453.8 | 0.2907 | 2.0404 |
| 7 | 199.4 | 0.0163 | 1.3737 |
| 8 | 406.2 | 0.1172 | 1.5737 |